Entry 1:
# HfNbVO6 | Alexandria | PBE with a Hubbard U | optimized geometry
data_HfNbVO6
_chemical_formula_sum 'Hf2 Nb2 V2 O12'
_cell_length_a 5.175
_cell_length_b 5.175
_cell_length_c 9.037
_cell_angle_alpha 90.00
_cell_angle_beta 90.00
_cell_angle_gamma 120.00
_symmetry_space_group_name_H-M 'P 1'
_symmetry_Int_Tables_number 1
loop_
_symmetry_equiv_pos_as_xyz
'x,y,z'
loop_
_atom_site_label
_atom_site_fract_x
_atom_site_fract_y
_atom_site_fract_z
Hf1 0.667 0.333 0.250
Hf2 0.333 0.667 0.750
Nb1 0.000 0.000 0.000
Nb2 0.000 0.000 0.500
V1 0.333 0.667 0.250
V2 0.667 0.333 0.750
O1 0.673 0.678 0.128
O2 0.005 0.327 0.128
O3 0.327 0.005 0.628
O4 0.995 0.673 0.872
O5 0.322 0.327 0.372
O6 0.005 0.678 0.372
O7 0.678 0.005 0.872
O8 0.673 0.995 0.372
O9 0.995 0.322 0.628
O10 0.322 0.995 0.128
O11 0.678 0.673 0.628
O12 0.327 0.322 0.872
# Volume   210 Å³/cell
# Calculated total energy   -9.031 eV/atom
# SG   P-31c (163)


Entry 2:
# HfNbV2O6 | Alexandria | PBE with a Hubbard U | optimized geometry
data_HfNbV2O6
_chemical_formula_sum 'Hf1 Nb1 V2 O6'
_cell_length_a 5.299
_cell_length_b 5.343
_cell_length_c 5.775
_cell_angle_alpha 62.86
_cell_angle_beta 62.15
_cell_angle_gamma 59.88
_symmetry_space_group_name_H-M 'P 1'
_symmetry_Int_Tables_number 1
loop_
_symmetry_equiv_pos_as_xyz
'x,y,z'
loop_
_atom_site_label
_atom_site_fract_x
_atom_site_fract_y
_atom_site_fract_z
Hf1 0.315 0.318 0.051
Nb1 0.822 0.820 0.545
V1 0.509 0.517 0.454
V2 0.016 0.015 0.955
O1 0.597 0.212 0.254
O2 0.218 0.934 0.246
O3 0.931 0.605 0.253
O4 0.439 0.706 0.752
O5 0.719 0.101 0.745
O6 0.096 0.433 0.758
# Volume   120 Å³/cell
# Calculated total energy   -8.882 eV/atom
# SG   P1 (1)


Mass density across the listed records, respectively: 6.6 6.5 g/cm³.
Total moment across the listed records, respectively: 4.0 5.0 μB per cell.